1.
Density functional theory data (PBE-GGA) for a relaxed DyErPu crystal.

Computed properties:
ΔE_f, eV per atom: 0.825
ΔE to the lowest computed polymorph, eV/atom: 0.000
Raw total energy, Ha/atom: -0.2550
Symmetry: F-43m (216)

abc: 7.4876 7.4876 7.4876
angles: 90.00 90.00 90.00
Fractional coordinates of all 12 atoms:
Dy 0.0000 0.0000 0.0000
Dy 0.0000 0.5000 0.5000
Dy 0.5000 0.0000 0.5000
Dy 0.5000 0.5000 0.0000
Er 0.2500 0.2500 0.7500
Er 0.2500 0.7500 0.2500
Er 0.7500 0.2500 0.2500
Er 0.7500 0.7500 0.7500
Pu 0.2500 0.2500 0.2500
Pu 0.2500 0.7500 0.7500
Pu 0.7500 0.2500 0.7500
Pu 0.7500 0.7500 0.2500

=====

2.
Density functional theory data (PBE-GGA) for a relaxed Dy3Er3ReTe2 crystal.

Computed properties:
ΔE to the lowest computed polymorph, eV/atom: 0.039
Raw total energy, Ha/atom: -0.2107
Symmetry: P-62m (189)

abc: 8.2416 8.2416 4.1365
angles: 90.00 90.00 120.00
Fractional coordinates of all 9 atoms:
Dy 0.0000 0.2385 0.0000
Dy 0.2385 0.0000 0.0000
Dy 0.7615 0.7615 0.0000
Er 0.0000 0.6137 0.5000
Er 0.3863 0.3863 0.5000
Er 0.6137 0.0000 0.5000
Re 0.0000 0.0000 0.5000
Te 0.3333 0.6667 0.0000
Te 0.6667 0.3333 0.0000

=====

3.
Density functional theory data (PBE-GGA) for a relaxed Dy3Er3ReTe2 crystal.

Computed properties:
ΔE to the lowest computed polymorph, eV/atom: 0.000
Raw total energy, Ha/atom: -0.2122
Symmetry: P-62m (189)

abc: 8.2323 8.2323 4.1380
angles: 90.00 90.00 120.00
Fractional coordinates of all 9 atoms:
Dy 0.0000 0.6116 0.0000
Dy 0.3884 0.3884 0.0000
Dy 0.6116 0.0000 0.0000
Er 0.0000 0.2363 0.5000
Er 0.2363 0.0000 0.5000
Er 0.7637 0.7637 0.5000
Re 0.0000 0.0000 0.0000
Te 0.3333 0.6667 0.5000
Te 0.6667 0.3333 0.5000

=====

4.
Density functional theory data (PBE-GGA) for a relaxed Dy4ErS7 crystal.

Computed properties:
Raw total energy, Ha/atom: -0.2352
Symmetry: C2/m (12)

abc: 6.6780 6.6780 11.5648
angles: 103.87 103.87 33.06
Fractional coordinates of all 12 atoms:
Dy 0.1120 0.1120 0.4212
Dy 0.3003 0.3003 0.1878
Dy 0.6997 0.6997 0.8122
Dy 0.8880 0.8880 0.5788
Er 0.0000 0.0000 0.0000
S 0.0408 0.0408 0.7861
S 0.2590 0.2590 0.6481
S 0.3421 0.3421 0.9496
S 0.5000 0.5000 0.5000
S 0.6579 0.6579 0.0504
S 0.7410 0.7410 0.3519
S 0.9592 0.9592 0.2139